P:
Entry from OQMD: Ag3I4 after structural relaxation (PBE).

Unit cell a=7.6613 b=7.6613 c=7.6613 alpha=131.63 beta=131.63 gamma=70.81
Element x y z (fractional)
Ag1 0.0000 0.0000 0.0000
Ag2 0.2500 0.7500 0.5000
Ag3 0.7500 0.2500 0.5000
I1 0.1571 0.1571 0.5449
I2 0.3878 0.8429 0.0000
I3 0.6122 0.6122 0.4551
I4 0.8429 0.3878 0.0000

Summary:
Space group = I-42m
V = 246.06 Å³/cell


Q:
Entry from OQMD: Ag3I4 after structural relaxation (PBE).

Unit cell a=7.7880 b=7.7880 c=7.7880 alpha=131.84 beta=131.84 gamma=70.49
Element x y z (fractional)
Ag1 0.0000 0.0000 0.0000
Ag2 0.5000 0.5000 0.0000
Ag3 0.7500 0.2500 0.5000
I1 0.1328 0.0986 0.4986
I2 0.3658 0.8672 0.9659
I3 0.6001 0.6342 0.5014
I4 0.9014 0.3999 0.0341

Summary:
Space group = I-4
V = 256.92 Å³/cell


Structures ranked by computed energy, the most stable listed first: Q, P.


P:
Entry from OQMD: NdMg after structural relaxation (PBE).

Unit cell a=7.4912 b=5.4854 c=8.7195 alpha=90.00 beta=101.33 gamma=90.00
Element x y z (fractional)
Nd1 0.0312 0.2500 0.1311
Nd2 0.2217 0.2500 0.7682
Nd3 0.3045 0.7500 0.2015
Nd4 0.6955 0.2500 0.7985
Nd5 0.7783 0.7500 0.2318
Nd6 0.9688 0.7500 0.8689
Mg1 0.1470 0.7500 0.5319
Mg2 0.4042 0.2500 0.4370
Mg3 0.4720 0.7500 0.8788
Mg4 0.5280 0.2500 0.1212
Mg5 0.5958 0.7500 0.5630
Mg6 0.8530 0.2500 0.4681

Summary:
Space group = P2_1/m
Magnetic moment = 0.008 μB per cell
V = 351.31 Å³/cell


Q:
Entry from OQMD: NdMg after structural relaxation (PBE).

Unit cell a=4.7305 b=4.9835 c=4.8780 alpha=90.00 beta=90.00 gamma=90.00
Element x y z (fractional)
Nd1 0.2500 0.2500 0.0277
Nd2 0.7500 0.7500 0.9723
Mg1 0.2500 0.7500 0.4940
Mg2 0.7500 0.2500 0.5060

Summary:
Space group = Pmmn
Magnetic moment = 0.004 μB per cell
V = 115.00 Å³/cell


Structures ranked by computed energy, the most stable listed first: Q, P.


P:
Entry from OQMD: PmHfPO after structural relaxation (PBE).

Unit cell a=4.0617 b=7.2171 c=5.8635 alpha=90.00 beta=90.00 gamma=90.00
Element x y z (fractional)
Pm1 0.0000 0.2084 0.0000
Pm2 0.0000 0.7916 0.5000
Hf1 0.5000 0.3872 0.5518
Hf2 0.5000 0.6128 0.0518
P1 0.0000 0.1810 0.4964
P2 0.0000 0.8190 0.9964
O1 0.5000 0.3542 0.9004
O2 0.5000 0.6458 0.4004

Summary:
Space group = Pmc2_1
Magnetic moment = 0.012 μB per cell
V = 171.88 Å³/cell


Q:
Entry from OQMD: PmHfPO after structural relaxation (PBE).

Unit cell a=4.1242 b=4.1242 c=8.1800 alpha=90.00 beta=90.00 gamma=90.00
Element x y z (fractional)
Pm1 0.2500 0.7500 0.0000
Pm2 0.7500 0.2500 0.0000
Hf1 0.2500 0.2500 0.4016
Hf2 0.7500 0.7500 0.5984
P1 0.2500 0.2500 0.7536
P2 0.7500 0.7500 0.2464
O1 0.2500 0.7500 0.5000
O2 0.7500 0.2500 0.5000

Summary:
Space group = P4/nmm
Magnetic moment = 0.015 μB per cell
V = 139.14 Å³/cell


Structures ranked by computed energy, the most stable listed first: P, Q.


P:
Entry from OQMD: BaGd after structural relaxation (PBE).

Unit cell a=5.5932 b=5.5932 c=5.5932 alpha=60.00 beta=60.00 gamma=60.00
Element x y z (fractional)
Ba1 0.0000 0.0000 0.0000
Gd1 0.7500 0.7500 0.7500

Summary:
Space group = F-43m
Magnetic moment = 0.016 μB per cell
V = 123.73 Å³/cell


Q:
Entry from OQMD: BaGd after structural relaxation (PBE).

Unit cell a=6.2684 b=6.2684 c=6.1934 alpha=90.00 beta=90.00 gamma=120.00
Element x y z (fractional)
Ba1 0.3333 0.6667 0.2500
Ba2 0.6667 0.3333 0.7500
Gd1 0.0000 0.0000 0.0000
Gd2 0.0000 0.0000 0.5000

Summary:
Space group = P6_3/mmc
Magnetic moment = 0.052 μB per cell
V = 210.75 Å³/cell


Structures ranked by computed energy, the most stable listed first: Q, P.


P:
Entry from OQMD: GdTlZnSe3 after structural relaxation (PBE).

Unit cell a=10.1575 b=4.1842 c=15.6349 alpha=90.00 beta=90.00 gamma=90.00
Element x y z (fractional)
Gd1 0.1774 0.2500 0.0551
Gd2 0.3226 0.7500 0.5551
Gd3 0.6774 0.2500 0.4449
Gd4 0.8226 0.7500 0.9449
Tl1 0.0146 0.7500 0.3179
Tl2 0.4854 0.2500 0.8179
Tl3 0.5146 0.7500 0.1821
Tl4 0.9854 0.2500 0.6821
Zn1 0.1704 0.7500 0.8669
Zn2 0.3296 0.2500 0.3669
Zn3 0.6704 0.7500 0.6331
Zn4 0.8296 0.2500 0.1331
Se1 0.0204 0.2500 0.8949
Se2 0.1687 0.2500 0.4823
Se3 0.2209 0.7500 0.7178
Se4 0.2791 0.2500 0.2178
Se5 0.3313 0.7500 0.9823
Se6 0.4796 0.7500 0.3949
Se7 0.5204 0.2500 0.6051
Se8 0.6687 0.2500 0.0177
Se9 0.7209 0.7500 0.7822
Se10 0.7791 0.2500 0.2822
Se11 0.8313 0.7500 0.5177
Se12 0.9796 0.7500 0.1051

Summary:
Space group = Pnma
Magnetic moment = 0.004 μB per cell
V = 664.50 Å³/cell


Q:
Entry from OQMD: GdTlZnSe3 after structural relaxation (PBE).

Unit cell a=14.9676 b=4.1490 c=11.1722 alpha=90.00 beta=90.00 gamma=90.00
Element x y z (fractional)
Gd1 0.0252 0.2500 0.1567
Gd2 0.4748 0.7500 0.6567
Gd3 0.5252 0.2500 0.3433
Gd4 0.9748 0.7500 0.8433
Tl1 0.2422 0.2500 0.4643
Tl2 0.2578 0.7500 0.9643
Tl3 0.7422 0.2500 0.0357
Tl4 0.7578 0.7500 0.5357
Zn1 0.0178 0.7500 0.4015
Zn2 0.4822 0.2500 0.9015
Zn3 0.5178 0.7500 0.0985
Zn4 0.9822 0.2500 0.5985
Se1 0.0803 0.7500 0.6135
Se2 0.0972 0.2500 0.9208
Se3 0.1398 0.7500 0.2531
Se4 0.3602 0.2500 0.7531
Se5 0.4028 0.7500 0.4208
Se6 0.4197 0.2500 0.1135
Se7 0.5803 0.7500 0.8865
Se8 0.5972 0.2500 0.5792
Se9 0.6398 0.7500 0.2469
Se10 0.8602 0.2500 0.7469
Se11 0.9028 0.7500 0.0792
Se12 0.9197 0.2500 0.3865

Summary:
Space group = Pnma
Magnetic moment = 0.007 μB per cell
V = 693.79 Å³/cell


Structures ranked by computed energy, the most stable listed first: Q, P.